Record 1
This record from Alexandria describes an optimized crystal structure of CeYTlAg. The functional is PBE-GGA.

Computed properties:
The calculation puts the formation energy at -231 meV/atom. Its crystal system is cubic. As for the space-group type: F-43m.

a b c (Å): 5.3524 5.3524 5.3524
angles (deg): 60.00 60.00 60.00
Last column: nearest neighbours and their distance in Å.
Positions (direct):
Ce  0.0000  0.0000  0.0000  4 Tl 3.28, 4 Ag 3.28
Y  0.5000  0.5000  0.5000  4 Tl 3.28, 4 Ag 3.28
Tl  0.7500  0.7500  0.7500  4 Ce 3.28, 4 Y 3.28
Ag  0.2500  0.2500  0.2500  4 Ce 3.28, 4 Y 3.28

Record 2
This record from Alexandria describes an optimized crystal structure of GaMoS3. The functional is PBE-GGA.

Computed properties:
The value obtained for the polymorph energy (0 for the lowest one) is 0.0 meV/atom. The calculation puts the energy relative to the elements, uncorrected at -52 kJ/mol of formula units. Its crystal system is cubic. As for the space-group type: Pm-3m.

a b c (Å): 4.7277 4.7277 4.7277
angles (deg): 90.00 90.00 90.00
Last column: nearest neighbours and their distance in Å.
Positions (direct):
Ga  0.0000  0.0000  0.0000  12 S 3.34
Mo  0.5000  0.5000  0.5000  6 S 2.36
S  0.0000  0.5000  0.5000  2 Mo 2.36
S  0.5000  0.0000  0.5000  2 Mo 2.36
S  0.5000  0.5000  0.0000  2 Mo 2.36

Number 1: V 108 Å³/f.u.. Number 2: V 106 Å³/f.u..